(1)
## Mn3SnH (PBE)

Data for crystalline Mn3SnH at its relaxed geometry.

Summary:
Total DFT energy (no corrections)   -6.630 eV/atom

Structure (POSCAR):
```
Mn3SnH
1.0
-2.6063 2.6063 5.0487
2.6063 -2.6063 5.0487
2.6063 2.6063 -5.0487
Mn Sn H
6 2 2
Direct
0.1323 0.1323 0.0000
0.3626 0.1146 0.7520
0.3626 0.6106 0.2480
0.3894 0.6374 0.7520
0.8677 0.8677 0.0000
0.8854 0.6374 0.2480
0.5981 0.0981 0.5000
0.9019 0.4019 0.5000
0.2500 0.7500 0.5000
0.5000 0.5000 0.0000
```

---

(2)
## MnCd3Br9 (PBE)

Data for crystalline MnCd3Br9 at its relaxed geometry.

Summary:
Raw formation energy   -9.20 eV per formula unit

Structure (POSCAR):
```
MnCd3Br9
1.0
9.1766 -4.8183 0.0000
9.1766 4.8183 0.0000
-8.9188 0.0000 10.2225
Mn Cd Br
2 6 18
Direct
0.2235 0.7765 0.5000
0.7765 0.2235 0.0000
0.0076 0.2109 0.8068
0.2109 0.0076 0.3068
0.3247 0.4537 0.6931
0.4537 0.3247 0.1931
0.6755 0.7860 0.2306
0.7860 0.6755 0.7306
0.0458 0.8857 0.2994
0.0714 0.1750 0.1519
0.1682 0.4260 0.0062
0.1750 0.0714 0.6519
0.3000 0.4746 0.3648
0.3321 0.7206 0.7236
0.4202 0.7356 0.1865
0.4260 0.1682 0.5062
0.4746 0.3000 0.8648
0.4917 0.7716 0.5348
0.5055 0.9987 0.1111
0.7206 0.3321 0.2236
0.7356 0.4202 0.6865
0.7716 0.4917 0.0348
0.7892 0.9357 0.9537
0.8857 0.0458 0.7994
0.9357 0.7892 0.4537
0.9987 0.5055 0.6111
```

---

(3)
## YScH3 (PBE)

Data for crystalline YScH3 at its relaxed geometry.

Summary:
Energy above the most stable polymorph in this dataset   0.2206 eV/atom

Structure (POSCAR):
```
YScH3
1.0
4.0380 0.0000 0.0000
0.0000 4.0380 0.0000
0.0000 0.0000 4.0380
Y Sc H
1 1 3
Direct
0.0000 0.0000 0.0000
0.5000 0.5000 0.5000
0.0000 0.0000 0.5000
0.0000 0.5000 0.0000
0.5000 0.0000 0.0000
```

---

(4)
## NdSm6Tm12 (PBE)

Data for crystalline NdSm6Tm12 at its relaxed geometry.

Summary:
Energy above the most stable polymorph in this dataset   0.0000 eV/atom
DFT formation energy   0.5 kcal/mol of atoms

Structure (POSCAR):
```
NdSm6Tm12
1.0
7.7156 4.4546 2.8919
-7.7156 4.4546 2.8919
0.0000 -8.9093 2.8919
Nd Sm Tm
1 6 12
Direct
0.0000 0.0000 0.0000
0.0544 0.3693 0.5784
0.3693 0.5784 0.0544
0.4216 0.9456 0.6307
0.5784 0.0544 0.3693
0.6307 0.4216 0.9456
0.9456 0.6307 0.4216
0.1055 0.7371 0.1573
0.1573 0.1055 0.7371
0.2111 0.4738 0.3160
0.2629 0.8427 0.8945
0.3160 0.2111 0.4738
0.4738 0.3160 0.2111
0.5262 0.6840 0.7889
0.6840 0.7889 0.5262
0.7371 0.1573 0.1055
0.7889 0.5262 0.6840
0.8427 0.8945 0.2629
0.8945 0.2629 0.8427
```

---

(5)
## NiPt2Pb (PBE)

Data for crystalline NiPt2Pb at its relaxed geometry.

Summary:
DFT formation energy   3.5 kcal/mol of atoms

Structure (POSCAR):
```
NiPt2Pb
1.0
3.9084 0.0000 0.0000
0.0000 3.9084 0.0000
0.0000 0.0000 18.8649
Ni Pt Pb
4 8 4
Direct
0.0000 0.0000 0.0000
0.0000 0.5000 0.2500
0.5000 0.0000 0.7500
0.5000 0.5000 0.5000
0.2289 0.2500 0.1250
0.2500 0.7289 0.3750
0.2500 0.7711 0.8750
0.2711 0.2500 0.6250
0.7289 0.7500 0.6250
0.7500 0.2289 0.8750
0.7500 0.2711 0.3750
0.7711 0.7500 0.1250
0.0000 0.0000 0.5000
0.0000 0.5000 0.7500
0.5000 0.0000 0.2500
0.5000 0.5000 0.0000
```

---

(6)
## MoIr3 (PBE)

Data for crystalline MoIr3 at its relaxed geometry.

Summary:
Energy above the most stable polymorph in this dataset   0.5136 eV/atom
DFT formation energy   4.1 kcal/mol of atoms

Structure (POSCAR):
```
MoIr3
1.0
7.5197 0.0000 0.0000
0.0000 7.5680 0.0000
0.0000 0.0000 4.4950
Mo Ir
4 12
Direct
0.0000 0.0850 0.2500
0.0000 0.9150 0.7500
0.5000 0.4150 0.7500
0.5000 0.5850 0.2500
0.0000 0.4161 0.2500
0.0000 0.5839 0.7500
0.1684 0.2512 0.7500
0.1684 0.7488 0.2500
0.3316 0.2488 0.2500
0.3316 0.7512 0.7500
0.5000 0.0839 0.7500
0.5000 0.9161 0.2500
0.6684 0.2488 0.2500
0.6684 0.7512 0.7500
0.8316 0.2512 0.7500
0.8316 0.7488 0.2500
```

---

Question: Which formula does entry 2 have?
Answer: MnCd3Br9

---

Copy entry 6 word for word.
## MoIr3 (PBE)

Data for crystalline MoIr3 at its relaxed geometry.

Summary:
Energy above the most stable polymorph in this dataset   0.5136 eV/atom
DFT formation energy   4.1 kcal/mol of atoms

Structure (POSCAR):
```
MoIr3
1.0
7.5197 0.0000 0.0000
0.0000 7.5680 0.0000
0.0000 0.0000 4.4950
Mo Ir
4 12
Direct
0.0000 0.0850 0.2500
0.0000 0.9150 0.7500
0.5000 0.4150 0.7500
0.5000 0.5850 0.2500
0.0000 0.4161 0.2500
0.0000 0.5839 0.7500
0.1684 0.2512 0.7500
0.1684 0.7488 0.2500
0.3316 0.2488 0.2500
0.3316 0.7512 0.7500
0.5000 0.0839 0.7500
0.5000 0.9161 0.2500
0.6684 0.2488 0.2500
0.6684 0.7512 0.7500
0.8316 0.2512 0.7500
0.8316 0.7488 0.2500
```